The following is a DFT calculation (meta-GGA SCAN) of Li2TcW at its PBEsol-relaxed geometry.

Results
- E_tot: -108.4 eV for the cell shown
- Energy relative to the elements: 0.274 eV/atom
- Relative energy among the computed polymorphs: 0.000 eV per atom
- M_tot: 0.00 μB per cell

Cell: 2.5365 4.2700 5.4946 Å, 90.00 97.01 90.00°
Element x y z (fractional)
Li 0.9382 0.0000 0.0152
Li 0.7932 0.5000 0.2387
Tc 0.5054 0.0000 0.5240
W 0.2632 0.5000 0.7222



The following is a DFT calculation (meta-GGA SCAN) of ScFeSb at its PBEsol-relaxed geometry.

Results
- E_tot: -70.6 eV for the cell shown
- ΔE_f (raw): -318.8 meV/atom
- M_tot: 1.69 μB per cell

Cell: 3.2899 4.3180 4.3180 Å, 120.00 90.00 90.00°
Element x y z (fractional)
Fe 0.0000 0.0000 0.0000
Sb 0.0000 0.3333 0.6667
Sc 0.5000 0.6667 0.3333